Record 1
Below is a relaxed structure of Cs2CdOsC, with properties calculated at the PBE-GGA level.

* magnetic moment: 2.78 Bohr magnetons per cell
* energy relative to the elements: 1.99 eV per atom

```
Cs2CdOsC
1.0
5.837 0.000 0.000
0.000 5.837 0.000
0.000 0.000 5.295
Cs C Os Cd
2 1 1 1
Direct
0.000 0.500 0.000
0.500 0.000 0.000
0.500 0.500 0.500
0.000 0.000 0.000
0.000 0.000 0.500
```

=====

Record 2
Below is a relaxed structure of CsCdSbC, with properties calculated at the PBE-GGA level.

* magnetic moment: 0.00 Bohr magnetons per cell
* uncorrected formation energy: 609.5 meV per atom
* E above lowest polymorph: 0.000 eV per atom

```
CsCdSbC
1.0
-0.630 3.968 -0.450
-2.203 1.116 -4.966
-6.261 -0.879 0.818
Cs Sb C Cd
1 1 1 1
Direct
0.830 0.125 0.886
0.191 0.407 0.317
0.074 0.640 0.541
0.490 0.811 0.509
```

=====

Record 3
Below is a relaxed structure of CsCdSbC, with properties calculated at the PBE-GGA level.

* magnetic moment: 0.00 Bohr magnetons per cell
* uncorrected formation energy: 686.1 meV per atom
* E above lowest polymorph: 0.077 eV per atom

```
CsCdSbC
1.0
3.464 0.000 0.000
0.000 4.580 0.000
0.000 0.000 15.500
Cs Sb C Cd
2 2 2 2
Direct
0.000 0.000 0.746
0.000 0.500 0.246
0.000 0.000 0.047
0.000 0.500 0.547
0.500 0.000 0.129
0.500 0.500 0.629
0.500 0.000 0.430
0.500 0.500 0.930
```

=====

Record 4
Below is a relaxed structure of CsTl2CdC, with properties calculated at the PBE-GGA level.

* magnetic moment: 0.45 Bohr magnetons per cell
* energy relative to the elements: 1.71 eV per atom

```
CsTl2CdC
1.0
-1.916 -5.551 -3.381
3.176 1.075 -3.565
4.786 -3.590 3.182
Cs Tl C Cd
1 2 1 1
Direct
0.000 0.000 0.000
0.000 0.000 0.500
0.500 0.000 0.000
0.000 0.500 0.000
0.500 0.500 0.500
```

=====

Record 5
Below is a relaxed structure of CdCu3C, with properties calculated at the PBE-GGA level.

* magnetic moment: 1.14 Bohr magnetons per cell
* energy relative to the elements: 2.26 eV per atom
* E above lowest polymorph: 1.892 eV per atom

```
CdCu3C
1.0
-4.619 0.354 -1.151
-0.929 -3.952 2.512
-0.766 2.655 3.893
C Cu Cd
1 3 1
Direct
0.500 0.500 0.500
0.000 0.500 0.000
0.000 0.000 0.500
0.500 0.000 0.000
0.000 0.000 0.000
```

=====

Record 6
Below is a relaxed structure of CdCu2C, with properties calculated at the PBE-GGA level.

* magnetic moment: 0.00 Bohr magnetons per cell
* energy relative to the elements: 1.30 eV per atom
* E above lowest polymorph: 0.518 eV per atom

```
CdCu2C
1.0
0.000 2.969 2.969
2.969 0.000 2.969
2.969 2.969 0.000
C Cu Cd
1 2 1
Direct
0.000 0.000 0.000
0.250 0.250 0.250
0.750 0.750 0.750
0.500 0.500 0.500
```